Density functional theory data (GGA-PBE) for an optimized crystal structure of CsAgSn2Br6.

For the energy relative to the elements, uncorrected, the calculation gives -83 kJ per mole of atoms. As for the crystal system: monoclinic. The magnetic moment is 0.0 Bohr magnetons per cell. The value obtained for the uncorrected energy is -3.034 eV per atom. The density is 3.46 Mg/m³.

The structure belongs to space group C2/c (No. 15); the cell edges are 12.805, 15.672 and 10.297 Å and the angles 90.00°, 117.33° and 90.00°. Symmetry generates all atoms from Cs at (0.000, 0.099, 0.250), Ag at (0.000, 0.214, 0.750), Sn at (0.132, 0.416, 0.186), Br at (0.109, 0.270, 0.029), Br at (0.124, 0.098, 0.663) and Br at (0.157, 0.456, 0.523).